Computed, not measured: Pr4Ga2P after structural relaxation at the GGA-PBE level of DFT.

Summary:
Uncorrected energy   -71.21 eV for the cell shown
Spin magnetization   0.00 μB per atom
Formation energy   -0.718 eV/atom

Cell: 12.2781 4.4176 8.8189 Å, 90.00 123.09 90.00°
Closest atoms and distances in Å follow each position.
Space group C2/m (No. 12)
Symmetry-distinct sites (fractional):
Pr 0.0846 0.0000 0.3717  1 P 2.85
Pr 0.1775 0.5000 0.0862  2 P 2.90, 2 Ga 3.18
Ga 0.1186 0.5000 0.6562  1 Ga 2.70
P 0.0000 0.0000 0.0000  6 Pr 2.85-2.90

Computed, not measured: Pr2GaP after structural relaxation at the GGA-PBE level of DFT.

Summary:
Uncorrected energy   -88.71 eV for the cell shown
Spin magnetization   0.00 μB per atom
Excess energy over the best structure of this formula in the dataset   0.0 meV/atom
Formation energy   -1.046 eV/atom

Cell: 4.1927 24.3650 4.2523 Å, 90.00 90.00 90.00°
Closest atoms and distances in Å follow each position.
Space group Cmcm (No. 63)
Symmetry-distinct sites (fractional):
Pr 0.0000 0.0715 0.2500  1 P 2.87, 4 Ga 3.13
Pr 0.0000 0.3088 0.2500  5 P 2.91-2.99
Ga 0.0000 0.4668 0.2500  2 Ga 2.67
P 0.0000 0.1894 0.2500  6 Pr 2.87-2.99

Computed, not measured: PrGaP after structural relaxation at the GGA-PBE level of DFT.

Summary:
Uncorrected energy   -63.90 eV for the cell shown
Spin magnetization   0.00 μB per atom
Formation energy   -0.920 eV/atom

Cell: 4.0254 16.2599 4.3358 Å, 90.00 90.00 90.00°
Closest atoms and distances in Å follow each position.
Space group Cmcm (No. 63)
Symmetry-distinct sites (fractional):
Pr 0.0000 0.1452 0.2500  5 P 2.93-3.00
Ga 0.0000 0.4671 0.2500  1 P 2.31, 2 Ga 2.42
P 0.0000 0.3253 0.2500  1 Ga 2.31

Computed, not measured: Pr2GaPPt6 after structural relaxation at the GGA-PBE level of DFT.

Summary:
Uncorrected energy   -126.75 eV for the cell shown
Spin magnetization   0.00 μB per atom
Formation energy   -0.914 eV/atom

Cell: 5.5963 8.6305 8.2827 Å, 90.00 90.00 90.00°
Closest atoms and distances in Å follow each position.
Space group Pmmn (No. 59, origin choice 2)
Symmetry-distinct sites (fractional):
Pr 0.2500 0.0106 0.2270  9 Pt 3.09-3.30
Ga 0.2500 0.7500 0.7790  6 Pt 2.50-2.61
P 0.2500 0.2500 0.7419  6 Pt 2.35-2.53
Pt 0.0008 0.2500 0.9707  1 P 2.35, 1 Ga 2.50
Pt 0.0016 0.7500 0.5125  1 P 2.53, 1 Ga 2.61, 6 Pt 2.73-2.82
Pt 0.2500 0.0043 0.6153  1 P 2.37, 1 Ga 2.58

Number 1: theoretical density 6.1 g cm⁻³. Number 2: theoretical density 5.8 g cm⁻³. Number 3: theoretical density 5.7 g cm⁻³. Number 4: theoretical density 12.9 g cm⁻³.